This record from Alexandria describes an optimized crystal structure of Tb2Ho5Sc. The functional is PBE.

Computed properties:
SG = Pbam
Energy above the lowest structure with this stoichiometry = 0.10 eV/f.u.
Formation energy from the elements = 0.029 eV/atom

```
Tb2Ho5Sc
1.0
4.941 0.000 0.000
0.000 7.003 0.000
0.000 0.000 14.015
Ho Sc Tb
10 2 4
Direct
0.000 0.501 0.248
0.000 0.999 0.748
0.500 0.751 0.624
0.000 0.000 0.000
0.000 0.500 0.500
0.000 0.001 0.252
0.500 0.251 0.876
0.500 0.249 0.376
0.500 0.749 0.124
0.000 0.499 0.752
0.000 0.500 0.000
0.000 0.000 0.500
0.500 0.752 0.376
0.500 0.748 0.876
0.500 0.248 0.624
0.500 0.252 0.124
```

This record from Alexandria describes an optimized crystal structure of PmHO2. The functional is PBE.

Computed properties:
SG = R-3m
Energy above the lowest structure with this stoichiometry = 0.46 eV/f.u.

```
PmHO2
1.0
-0.482 -1.175 3.457
2.912 -0.950 2.046
1.156 3.650 3.364
Pm O H
1 2 1
Direct
0.500 0.500 0.500
0.912 0.912 0.265
0.088 0.088 0.735
0.000 0.000 0.000
```

This record from Alexandria describes an optimized crystal structure of VZn2As. The functional is PBE.

Computed properties:
SG = I-42d
Formation energy from the elements = 0.212 eV/atom

```
VZn2As
1.0
7.450 0.000 0.000
0.000 7.450 0.000
3.725 3.725 2.465
V As Zn
2 2 4
Direct
0.500 0.500 0.000
0.250 0.750 0.500
0.750 0.250 0.500
0.000 0.000 0.000
0.875 0.898 0.750
0.375 0.352 0.750
0.648 0.125 0.250
0.102 0.625 0.250
```

How do the records compare in DOS(E_F)? In the order shown, they have 20.435, 0.000, 7.294 states/eV per cell.